# 1
# ReTeN2

An optimized crystal structure of ReTeN2 (PBE-GGA, Alexandria).

Summary:
As for the crystal system: trigonal. The uncorrected formation energy comes out at 0.511 eV/atom. For the mass density, the calculation gives 10.2 Mg/m³. Its space group is R-3m, No. 166. The electronic total energy is -30.20 eV per cell.

a b c (Å): 7.145 7.145 7.145
angles (deg): 24.58 24.58 24.58
Fractional coordinates of all 4 atoms:
Te: 0.000 0.000 0.000
N: 0.111 0.111 0.111
N: 0.889 0.889 0.889
Re: 0.500 0.500 0.500

# 2
# CsTaSe3

An optimized crystal structure of CsTaSe3 (PBE-GGA, Alexandria).

Summary:
As for the crystal system: monoclinic. The uncorrected formation energy comes out at -0.901 eV/atom. For the mass density, the calculation gives 4.6 Mg/m³. Its space group is C2/m, No. 12. The energy relative to the lowest polymorph listed for this composition is 0.52 eV per formula unit. The electronic total energy is -55.33 eV per cell.

a b c (Å): 4.975 10.114 8.421
angles (deg): 105.48 90.00 104.24
Fractional coordinates of all 10 atoms:
Cs: 0.601 0.202 0.241
Cs: 0.399 0.798 0.759
Se: 0.055 0.110 0.844
Se: 0.294 0.588 0.077
Se: 0.706 0.412 0.923
Se: 0.945 0.890 0.156
Se: 0.183 0.366 0.561
Se: 0.817 0.634 0.439
Ta: 0.826 0.652 0.168
Ta: 0.174 0.348 0.832

# 3
# LaSn8Ru2

An optimized crystal structure of LaSn8Ru2 (PBE-GGA, Alexandria).

Summary:
As for the crystal system: tetragonal. For the mass density, the calculation gives 6.5 Mg/m³. Its space group is P4/mmm, No. 123. The formation energy comes out at -0.0115 eV per atom. The electronic total energy is -55.63 eV per cell.

a b c (Å): 6.427 6.427 7.971
angles (deg): 90.00 90.00 90.00
Fractional coordinates of all 11 atoms:
Sn: 0.246 0.246 0.197
Sn: 0.754 0.754 0.803
Sn: 0.246 0.754 0.197
Sn: 0.754 0.246 0.197
Sn: 0.754 0.754 0.197
Sn: 0.246 0.246 0.803
Sn: 0.246 0.754 0.803
Sn: 0.754 0.246 0.803
La: 0.500 0.500 0.500
Ru: 0.000 0.500 0.000
Ru: 0.500 0.000 0.000

# 4
# Pu3Cd2Ge3

An optimized crystal structure of Pu3Cd2Ge3 (PBE-GGA, Alexandria).

Summary:
As for the crystal system: orthorhombic. For the mass density, the calculation gives 10.9 Mg/m³. Its space group is Immm, No. 71. The formation energy comes out at -0.2566 eV per atom. The electronic total energy is -60.73 eV per cell.

a b c (Å): 4.134 4.486 10.093
angles (deg): 102.84 101.82 90.00
Each line ends with the local moment (μB).
Fractional coordinates of all 8 atoms:
Ge: 0.867 0.867 0.734  -0.05
Ge: 0.000 0.500 0.000  -0.12
Ge: 0.133 0.133 0.266  -0.05
Pu: 0.383 0.383 0.767  5.32
Pu: 0.617 0.617 0.233  5.32
Pu: 0.500 0.000 0.000  5.46
Cd: 0.749 0.249 0.499  0.01
Cd: 0.251 0.751 0.501  0.01

# 5
# Ca2Mg2Zn

An optimized crystal structure of Ca2Mg2Zn (PBE-GGA, Alexandria).

Summary:
As for the crystal system: orthorhombic. For the mass density, the calculation gives 2.3 Mg/m³. Its space group is Immm, No. 71. The formation energy comes out at -0.0756 eV per atom. The energy relative to the lowest polymorph listed for this composition is 0.27 eV per formula unit. The electronic total energy is -8.84 eV per cell.

a b c (Å): 6.309 6.309 6.309
angles (deg): 135.71 123.95 74.08
Fractional coordinates of all 5 atoms:
Mg: 0.751 0.500 0.251
Mg: 0.249 0.500 0.749
Ca: 0.694 0.194 0.500
Ca: 0.306 0.806 0.500
Zn: 0.000 0.000 0.000

# 6
# Pm3Zn2Pd3

An optimized crystal structure of Pm3Zn2Pd3 (PBE-GGA, Alexandria).

Summary:
As for the crystal system: hexagonal. For the mass density, the calculation gives 8.3 Mg/m³. Its space group is P6_3/mcm, No. 193. The formation energy comes out at -0.6069 eV per atom. The energy relative to the lowest polymorph listed for this composition is 0.75 eV per formula unit. The electronic total energy is -74.47 eV per cell.

a b c (Å): 5.689 8.454 8.454
angles (deg): 120.00 90.00 90.00
Fractional coordinates of all 16 atoms:
Zn: 0.500 0.333 0.667
Zn: 0.000 0.333 0.667
Zn: 0.000 0.667 0.333
Zn: 0.500 0.667 0.333
Pm: 0.250 0.726 0.000
Pm: 0.250 0.000 0.726
Pm: 0.750 0.726 0.726
Pm: 0.250 0.274 0.274
Pm: 0.750 0.274 0.000
Pm: 0.750 0.000 0.274
Pd: 0.250 0.000 0.395
Pd: 0.250 0.395 0.000
Pd: 0.750 0.395 0.395
Pd: 0.750 0.000 0.605
Pd: 0.250 0.605 0.605
Pd: 0.750 0.605 0.000